Record 1
Density functional theory data (PBE) for crystalline Fe2Os at its relaxed geometry.

Output
ΔE_f in eV per atom: 0.18
Density in g/cm3: 13.1
Calculated volume in Å³/f.u.: 38.17
Crystal system: trigonal

Cell: 2.6550 2.6550 6.2530 Å, 90.00 90.00 120.00°
Space group P-3m1 (No. 164)
One atom of each set of equivalent atoms:
Fe1 0.3333 0.6667 0.1616 (multiplicity 2)
Os1 0.0000 0.0000 0.5000 (multiplicity 1)

Record 2
Density functional theory data (PBE) for crystalline FeOs5 at its relaxed geometry.

Output
ΔE_f in eV per atom: 0.87
Density in g/cm3: 18.1
Calculated volume in Å³/f.u.: 92.59
Crystal system: cubic

Cell: 7.181 7.181 7.181 Å, 90.00 90.00 90.00°
Space group F-43m (No. 216)
One atom of each set of equivalent atoms:
Fe1 0.000 0.000 0.000 (multiplicity 4)
Os1 0.125 0.125 0.375 (multiplicity 16)
Os2 0.250 0.250 0.750 (multiplicity 4)